[1]
# SrPdSO

SrPdSO after structural relaxation (GGA-PBE, OQMD).

Lattice parameters (Å, degrees): 6.2781 6.3093 7.2717 90.00 90.00 90.00
With the nearest neighbours (Å) after each atom.
Positions (direct):
Sr 0.0563 0.1609 0.3570  3 O 2.54-2.67
Sr 0.4437 0.8391 0.8570  3 O 2.54-2.67
Sr 0.5563 0.3391 0.6430  3 O 2.54-2.67
Sr 0.9437 0.6609 0.1430  3 O 2.54-2.67
Pd 0.0142 0.3534 0.7684  2 O 2.09-2.13
Pd 0.4858 0.6466 0.2684  2 O 2.09-2.13
Pd 0.5142 0.1466 0.2316  2 O 2.09-2.13
Pd 0.9858 0.8534 0.7316  2 O 2.09-2.13
S 0.1683 0.5896 0.5536  2 Pd 2.37-2.40
S 0.3317 0.4104 0.0536  2 Pd 2.37-2.40
S 0.6683 0.9104 0.4464  2 Pd 2.37-2.40
S 0.8317 0.0896 0.9464  2 Pd 2.37-2.40
O 0.2047 0.1031 0.6775  2 Pd 2.09-2.13
O 0.2953 0.8969 0.1775  2 Pd 2.09-2.13
O 0.7047 0.3969 0.3225  2 Pd 2.09-2.13
O 0.7953 0.6031 0.8225  2 Pd 2.09-2.13

- space group = P2_12_12_1 (19)



[2]
# SrPdSO

SrPdSO after structural relaxation (GGA-PBE, OQMD).

Lattice parameters (Å, degrees): 5.9702 5.9702 5.9071 90.00 90.00 135.65
With the nearest neighbours (Å) after each atom.
Positions (direct):
Sr 0.1813 0.8187 0.5000  2 O 2.50
Sr 0.8187 0.1813 0.0000  2 O 2.50
Pd 0.4745 0.5255 0.5627  2 O 2.03-2.11
Pd 0.5255 0.4745 0.0627  2 O 2.03-2.11
S 0.0969 0.9031 0.9993  2 Pd 2.42
S 0.9031 0.0969 0.4993  2 Pd 2.42
O 0.3729 0.6271 0.8482  2 Pd 2.03-2.11
O 0.6271 0.3729 0.3482  2 Pd 2.03-2.11

- space group = Cmc2_1 (36)



[3]
# SrPdSO

SrPdSO after structural relaxation (GGA-PBE, OQMD).

Lattice parameters (Å, degrees): 4.1091 4.1091 10.2951 90.00 90.00 120.00
With the nearest neighbours (Å) after each atom.
Positions (direct):
Sr 0.3333 0.6667 0.0000  3 O 2.42
Sr 0.6667 0.3333 0.5000  3 O 2.42
Pd 0.0000 0.0000 0.2562  1 O 2.15, 3 S 2.40
Pd 0.0000 0.0000 0.7562  1 O 2.15, 3 S 2.40
S 0.3333 0.6667 0.2894  3 Pd 2.40
S 0.6667 0.3333 0.7894  3 Pd 2.40
O 0.0000 0.0000 0.0473  1 Pd 2.15
O 0.0000 0.0000 0.5473  1 Pd 2.15

- space group = P6_3mc (186)



[4]
# SrPdSO

SrPdSO after structural relaxation (GGA-PBE, OQMD).

Lattice parameters (Å, degrees): 7.0640 7.2283 6.1202 90.00 90.00 90.00
With the nearest neighbours (Å) after each atom.
Positions (direct):
Sr 0.0883 0.1661 0.0000  3 O 2.40-2.49
Sr 0.4117 0.1661 0.5000  3 O 2.40-2.49
Sr 0.5883 0.8339 0.0000  3 O 2.40-2.49
Sr 0.9117 0.8339 0.5000  3 O 2.40-2.49
Pd 0.0855 0.6687 0.0376  1 O 2.09, 2 S 2.32-2.33
Pd 0.4145 0.6687 0.5376  1 O 2.09, 2 S 2.32-2.33
Pd 0.5855 0.3313 0.0376  1 O 2.09, 2 S 2.32-2.33
Pd 0.9145 0.3313 0.5376  1 O 2.09, 2 S 2.32-2.33
S 0.1558 0.5300 0.7030  3 Pd 2.32-2.45
S 0.3442 0.5300 0.2030  3 Pd 2.32-2.45
S 0.6558 0.4700 0.7030  3 Pd 2.32-2.45
S 0.8442 0.4700 0.2030  3 Pd 2.32-2.45
O 0.0893 0.1036 0.6004  1 Pd 2.09
O 0.4107 0.1036 0.1004  1 Pd 2.09
O 0.5893 0.8964 0.6004  1 Pd 2.09
O 0.9107 0.8964 0.1004  1 Pd 2.09

- space group = Pca2_1 (29)



[5]
# ZnPdSO

ZnPdSO after structural relaxation (GGA-PBE, OQMD).

Lattice parameters (Å, degrees): 3.2929 3.2929 10.1613 90.00 90.00 90.00
With the nearest neighbours (Å) after each atom.
Positions (direct):
Zn 0.2500 0.2500 0.1118  1 O 2.01
Zn 0.7500 0.7500 0.8882  1 O 2.01
Pd 0.2500 0.2500 0.7031  1 O 2.14
Pd 0.7500 0.7500 0.2969  1 O 2.14
S 0.2500 0.7500 0.5000  4 S 2.33
S 0.7500 0.2500 0.5000  4 S 2.33
O 0.2500 0.2500 0.9139  1 Zn 2.01, 1 Pd 2.14
O 0.7500 0.7500 0.0861  1 Zn 2.01, 1 Pd 2.14

- space group = P4/nmm (129)



[6]
# ZnPdSO

ZnPdSO after structural relaxation (GGA-PBE, OQMD).

Lattice parameters (Å, degrees): 5.5008 5.9247 8.3196 90.00 90.00 90.00
With the nearest neighbours (Å) after each atom.
Positions (direct):
Zn 0.0367 0.2054 0.1180  2 O 1.97-1.99
Zn 0.4633 0.7946 0.6180  2 O 1.97-1.99
Zn 0.5367 0.2946 0.8820  2 O 1.97-1.99
Zn 0.9633 0.7054 0.3820  2 O 1.97-1.99
Pd 0.0035 0.4643 0.7479  2 O 2.04-2.06
Pd 0.4965 0.5357 0.2479  2 O 2.04-2.06
Pd 0.5035 0.0357 0.2521  2 O 2.04-2.06
Pd 0.9965 0.9643 0.7521  2 O 2.04-2.06
S 0.1866 0.7939 0.1622  1 Zn 2.26, 2 Pd 2.38-2.40
S 0.3134 0.2061 0.6622  1 Zn 2.26, 2 Pd 2.38-2.40
S 0.6866 0.7061 0.8378  1 Zn 2.26, 2 Pd 2.38-2.40
S 0.8134 0.2939 0.3378  1 Zn 2.26, 2 Pd 2.38-2.40
O 0.1127 0.7165 0.5965  2 Zn 1.97-1.99, 2 Pd 2.04-2.06
O 0.3873 0.2835 0.0965  2 Zn 1.97-1.99, 2 Pd 2.04-2.06
O 0.6127 0.7835 0.4035  2 Zn 1.97-1.99, 2 Pd 2.04-2.06
O 0.8873 0.2165 0.9035  2 Zn 1.97-1.99, 2 Pd 2.04-2.06

- space group = P2_12_12_1 (19)



[7]
# ZnPdSO

ZnPdSO after structural relaxation (GGA-PBE, OQMD).

Lattice parameters (Å, degrees): 5.9412 3.3478 11.3081 90.00 90.00 90.00
With the nearest neighbours (Å) after each atom.
Positions (direct):
Zn 0.2055 0.2500 0.0048  3 O 1.95-2.17
Zn 0.2945 0.7500 0.5048  3 O 1.95-2.17
Zn 0.7055 0.2500 0.4952  3 O 1.95-2.17
Zn 0.7945 0.7500 0.9952  3 O 1.95-2.17
Pd 0.1626 0.2500 0.7593  2 O 2.38-2.47, 4 S 2.47-2.49
Pd 0.3374 0.7500 0.2593  2 O 2.38-2.47, 4 S 2.47-2.49
Pd 0.6626 0.2500 0.7407  2 O 2.38-2.47, 4 S 2.47-2.49
Pd 0.8374 0.7500 0.2407  2 O 2.38-2.47, 4 S 2.47-2.49
S 0.0781 0.2500 0.3435  4 Pd 2.47-2.49
S 0.4219 0.7500 0.8435  4 Pd 2.47-2.49
S 0.5781 0.2500 0.1565  4 Pd 2.47-2.49
S 0.9219 0.7500 0.6565  4 Pd 2.47-2.49
O 0.1215 0.7500 0.0816  3 Zn 1.95-2.17
O 0.3785 0.2500 0.5816  3 Zn 1.95-2.17
O 0.6215 0.7500 0.4184  3 Zn 1.95-2.17
O 0.8785 0.2500 0.9184  3 Zn 1.95-2.17

- space group = Pnma (62)



[8]
# ZnPdSO

ZnPdSO after structural relaxation (GGA-PBE, OQMD).

Lattice parameters (Å, degrees): 3.3138 3.3138 12.7868 90.00 90.00 120.00
With the nearest neighbours (Å) after each atom.
Positions (direct):
Zn 0.3333 0.6667 0.0000  3 O 1.97
Zn 0.6667 0.3333 0.5000  3 O 1.97
Pd 0.0000 0.0000 0.2194  3 S 2.32, 1 O 2.34
Pd 0.0000 0.0000 0.7194  3 S 2.32, 1 O 2.34
S 0.3333 0.6667 0.3214  3 Pd 2.32
S 0.6667 0.3333 0.8214  3 Pd 2.32
O 0.0000 0.0000 0.0367  3 Zn 1.97
O 0.0000 0.0000 0.5367  3 Zn 1.97

- space group = P6_3mc (186)



[9]
# ZnPdSO

ZnPdSO after structural relaxation (GGA-PBE, OQMD).

Lattice parameters (Å, degrees): 4.6877 4.6877 6.3052 90.00 90.00 90.00
With the nearest neighbours (Å) after each atom.
Positions (direct):
Zn 0.2500 0.2500 0.2045  1 O 1.78
Zn 0.7500 0.7500 0.7955  1 O 1.78
Pd 0.2500 0.2500 0.6021  1 O 2.02
Pd 0.7500 0.7500 0.3979  1 O 2.02
S 0.2500 0.7500 0.5000  4 Pd 2.43
S 0.7500 0.2500 0.5000  4 Pd 2.43
O 0.2500 0.2500 0.9227  1 Zn 1.78
O 0.7500 0.7500 0.0773  1 Zn 1.78

- space group = P4/nmm (129)



[10]
# ZnPdSO

ZnPdSO after structural relaxation (GGA-PBE, OQMD).

Lattice parameters (Å, degrees): 3.5262 3.5262 11.1482 90.00 90.00 120.00
With the nearest neighbours (Å) after each atom.
Positions (direct):
Zn 0.0000 0.0000 0.0000  1 O 1.87
Zn 0.0000 0.0000 0.5000  1 O 1.87
Pd 0.3333 0.6667 0.2457  3 O 2.25, 3 S 2.46
Pd 0.6667 0.3333 0.7457  3 O 2.25, 3 S 2.46
S 0.3333 0.6667 0.6212  3 Zn 2.44, 3 Pd 2.46
S 0.6667 0.3333 0.1212  3 Zn 2.44, 3 Pd 2.46
O 0.0000 0.0000 0.3318  1 Zn 1.87
O 0.0000 0.0000 0.8318  1 Zn 1.87

- space group = P6_3mc (186)



[11]
# ZnPdSO

ZnPdSO after structural relaxation (GGA-PBE, OQMD).

Lattice parameters (Å, degrees): 6.0891 7.1701 5.7348 90.00 90.00 90.00
With the nearest neighbours (Å) after each atom.
Positions (direct):
Zn 0.1278 0.1408 0.0000  1 O 1.95
Zn 0.3722 0.1408 0.5000  1 O 1.95
Zn 0.6278 0.8592 0.0000  1 O 1.95
Zn 0.8722 0.8592 0.5000  1 O 1.95
Pd 0.2354 0.6390 0.8592  2 O 2.00-2.02
Pd 0.2646 0.6390 0.3592  2 O 2.00-2.02
Pd 0.7354 0.3610 0.8592  2 O 2.00-2.02
Pd 0.7646 0.3610 0.3592  2 O 2.00-2.02
S 0.0010 0.1562 0.5971  3 Zn 2.33-2.44, 1 Pd 2.47
S 0.4990 0.1562 0.0971  3 Zn 2.33-2.44, 1 Pd 2.47
S 0.5010 0.8438 0.5971  3 Zn 2.33-2.44, 1 Pd 2.47
S 0.9990 0.8438 0.0971  3 Zn 2.33-2.44, 1 Pd 2.47
O 0.0188 0.6296 0.5966  1 Zn 1.95, 2 Pd 2.00-2.02
O 0.4812 0.6296 0.0966  1 Zn 1.95, 2 Pd 2.00-2.02
O 0.5188 0.3704 0.5966  1 Zn 1.95, 2 Pd 2.00-2.02
O 0.9812 0.3704 0.0966  1 Zn 1.95, 2 Pd 2.00-2.02

- space group = Pca2_1 (29)



[12]
# ZnPdSO

ZnPdSO after structural relaxation (GGA-PBE, OQMD).

Lattice parameters (Å, degrees): 4.2474 4.2474 6.6711 90.00 90.00 90.00
With the nearest neighbours (Å) after each atom.
Positions (direct):
Zn 0.2500 0.2500 0.2248  1 O 1.91
Zn 0.7500 0.7500 0.7752  1 O 1.91
Pd 0.2500 0.7500 0.0000  4 Zn 2.60, 4 S 2.73
Pd 0.7500 0.2500 0.0000  4 Zn 2.60, 4 S 2.73
S 0.2500 0.2500 0.7434  1 O 1.55
S 0.7500 0.7500 0.2566  1 O 1.55
O 0.2500 0.2500 0.5106  1 S 1.55
O 0.7500 0.7500 0.4894  1 S 1.55

- space group = P4/nmm (129)



Number 1: energy above the lowest structure with this stoichiometry 0 meV per atom, final energy -21.4 eV/f.u., ρ 5.58 g cm⁻³. Number 2: energy above the lowest structure with this stoichiometry 65 meV per atom, final energy -21.1 eV/f.u., ρ 5.46 g cm⁻³. Number 3: energy above the lowest structure with this stoichiometry 30 meV per atom, final energy -21.3 eV/f.u., ρ 5.34 g cm⁻³. Number 4: energy above the lowest structure with this stoichiometry 49 meV per atom, final energy -21.2 eV/f.u., ρ 5.15 g cm⁻³. Number 5: energy above the lowest structure with this stoichiometry 491 meV per atom, final energy -16.1 eV/f.u., ρ 6.63 g cm⁻³. Number 6: energy above the lowest structure with this stoichiometry 14 meV per atom, final energy -18.0 eV/f.u., ρ 5.39 g cm⁻³. Number 7: energy above the lowest structure with this stoichiometry 138 meV per atom, final energy -17.5 eV/f.u., ρ 6.49 g cm⁻³. Number 8: energy above the lowest structure with this stoichiometry 119 meV per atom, final energy -17.6 eV/f.u., ρ 6.01 g cm⁻³. Number 9: energy above the lowest structure with this stoichiometry 516 meV per atom, final energy -16.0 eV/f.u., ρ 5.27 g cm⁻³. Number 10: energy above the lowest structure with this stoichiometry 275 meV per atom, final energy -17.0 eV/f.u., ρ 6.08 g cm⁻³. Number 11: energy above the lowest structure with this stoichiometry 214 meV per atom, final energy -17.2 eV/f.u., ρ 5.83 g cm⁻³. Number 12: energy above the lowest structure with this stoichiometry 329 meV per atom, final energy -16.8 eV/f.u., ρ 6.07 g cm⁻³.